A geometry-optimized TlCd2C structure, computed with PBE-GGA.

a b c (Å): 4.868 4.868 4.868
angles (deg): 60.00 60.00 60.00
Sites, in units of the cell vectors:
Tl 0.000 0.000 0.000
Cd 0.250 0.250 0.250
Cd 0.750 0.750 0.750
C 0.500 0.500 0.500

Computed properties:
DFT formation energy, eV per atom: 1.348
Space group: Fm-3m, No. 225
Total DFT energy (no corrections), eV per atom: -2.007